Entry 1:
Below is a geometry-optimized SrLa2Br structure, with properties calculated at the GGA-PBE level.

## Properties
space group = Pm
magnetization = 0.0 μB/f.u.
V = 36.23 Å³ per atom
calculated density = 5.1 g/cm³
energy = -0.276 Ry per atom
formation energy without anion corrections = -0.45 eV per atom
crystal system = monoclinic

abc: 4.7100 4.1097 7.7816
angles: 74.19 90.00 90.00
Fractional coordinates of all 4 atoms:
Sr1 0.0000 0.5285 0.5732
Br1 0.5000 0.9856 0.6566
La1 0.0000 0.7808 0.0475
La2 0.5000 0.2052 0.2227

***

Entry 2:
Below is a geometry-optimized SrLaBr structure, with properties calculated at the GGA-PBE level.

## Properties
space group = F-43m
magnetization = 1.8 μB/f.u.
V = 35.82 Å³ per atom
calculated density = 4.7 g/cm³
energy = -0.234 Ry per atom
formation energy without anion corrections = -0.42 eV per atom
crystal system = cubic

abc: 5.3365 5.3365 5.3365
angles: 60.00 60.00 60.00
Fractional coordinates of all 3 atoms:
Sr1 0.5000 0.5000 0.5000
Br1 0.7500 0.7500 0.7500
La1 0.0000 0.0000 0.0000

***

Entry 3:
Below is a geometry-optimized SrLa2Br structure, with properties calculated at the GGA-PBE level.

## Properties
space group = F-43m
magnetization = 2.4 μB/f.u.
V = 37.14 Å³ per atom
calculated density = 5.0 g/cm³
energy = -0.241 Ry per atom
formation energy without anion corrections = 0.02 eV per atom
crystal system = cubic

abc: 5.9450 5.9450 5.9450
angles: 60.00 60.00 60.00
Fractional coordinates of all 4 atoms:
Sr1 0.7500 0.7500 0.7500
Br1 0.5000 0.5000 0.5000
La1 0.0000 0.0000 0.0000
La2 0.2500 0.2500 0.2500

***

Entry 4:
Below is a geometry-optimized SrLaBr structure, with properties calculated at the GGA-PBE level.

## Properties
space group = I4mm
magnetization = 0.0 μB/f.u.
V = 35.30 Å³ per atom
calculated density = 4.8 g/cm³
energy = -0.256 Ry per atom
formation energy without anion corrections = -0.72 eV per atom
crystal system = tetragonal

abc: 7.9590 7.9590 7.9590
angles: 152.70 152.70 39.00
Fractional coordinates of all 3 atoms:
Sr1 0.6501 0.6501 0.0000
Br1 0.9963 0.9963 0.0000
La1 0.3537 0.3537 0.0000

***

Entry 5:
Below is a geometry-optimized SrLa2Br structure, with properties calculated at the GGA-PBE level.

## Properties
space group = C2/m
magnetization = 0.0 μB/f.u.
V = 37.08 Å³ per atom
calculated density = 5.0 g/cm³
energy = -0.268 Ry per atom
formation energy without anion corrections = -0.35 eV per atom
crystal system = monoclinic

abc: 5.7146 7.7533 3.7289
angles: 76.01 90.20 111.68
Fractional coordinates of all 4 atoms:
Sr1 0.0000 0.5000 0.5000
Br1 0.5000 0.5000 0.0000
La1 0.0000 0.0000 0.0000
La2 0.5000 0.0000 0.5000

***

Entry 6:
Below is a geometry-optimized SrLa2Br structure, with properties calculated at the GGA-PBE level.

## Properties
space group = Cmmm
magnetization = 0.0 μB/f.u.
V = 35.94 Å³ per atom
calculated density = 5.1 g/cm³
energy = -0.259 Ry per atom
formation energy without anion corrections = -0.22 eV per atom
crystal system = orthorhombic

abc: 6.3866 6.3866 3.8989
angles: 90.00 90.00 115.33
Fractional coordinates of all 4 atoms:
Sr1 0.5000 0.0000 0.5000
Br1 0.0000 0.5000 0.5000
La1 0.0000 0.0000 0.0000
La2 0.5000 0.5000 0.0000

***

Question: Which value of calculated density does entry 2 give?
Answer: 4.7 g/cm³